(1)
# NdUTe, relaxed, DFT PBE
# **Size of the total moment**: 1.13 μB/f.u.
# **Calculated density**: 10.10 g/cm³
# **Electronic total energy**: -6.96 eV per atom
# **Formation energy from raw total energies**: -558 meV/atom
# **Crystal system**: monoclinic
data_NdUTe
_chemical_formula_sum 'Nd4 U4 Te4'
_cell_length_a 16.892
_cell_length_b 3.793
_cell_length_c 5.311
_cell_angle_alpha 90.00
_cell_angle_beta 99.73
_cell_angle_gamma 90.00
_symmetry_space_group_name_H-M 'C 1 2/m 1'
_symmetry_Int_Tables_number 12
_symmetry_space_group_name_Hall '-C 2y'
loop_
_atom_site_label
_atom_site_type_symbol
_atom_site_fract_x
_atom_site_fract_y
_atom_site_fract_z
_atom_site_occupancy
Nd1 Nd 0.086 0.000 0.282 1
U1 U 0.246 0.000 0.840 1
Te1 Te 0.087 0.500 0.787 1

(2)
# Ca2InBPd6, relaxed, DFT PBE
# **Size of the total moment**: 0.00 μB/f.u.
# **Calculated density**: 7.22 g/cm³
# **Electronic total energy**: -5.02 eV per atom
# **Formation energy from the elements**: -0.566 eV per atom
# **Crystal system**: triclinic
data_Ca2InBPd6
_chemical_formula_sum 'Ca2 In1 B1 Pd6'
_cell_length_a 5.810
_cell_length_b 5.812
_cell_length_c 7.415
_cell_angle_alpha 67.55
_cell_angle_beta 67.14
_cell_angle_gamma 60.04
_symmetry_space_group_name_H-M 'P -1'
_symmetry_Int_Tables_number 2
_symmetry_space_group_name_Hall '-P 1'
loop_
_atom_site_label
_atom_site_type_symbol
_atom_site_fract_x
_atom_site_fract_y
_atom_site_fract_z
_atom_site_occupancy
Ca1 Ca 0.230 0.237 0.306 1
In1 In 0.500 0.500 0.500 1
B1 B 0.000 0.000 0.000 1
Pd1 Pd 0.230 0.703 0.832 1
Pd2 Pd 0.233 0.225 0.822 1
Pd3 Pd 0.287 0.776 0.173 1

(3)
# BP3Pt, relaxed, DFT PBE
# **Size of the total moment**: 0.00 μB/f.u.
# **Calculated density**: 7.44 g/cm³
# **Electronic total energy**: -5.13 eV per atom
# **Formation energy from the elements**: 0.663 eV per atom
# **Crystal system**: cubic
data_BP3Pt
_chemical_formula_sum 'B1 P3 Pt1'
_cell_length_a 4.056
_cell_length_b 4.056
_cell_length_c 4.056
_cell_angle_alpha 90.00
_cell_angle_beta 90.00
_cell_angle_gamma 90.00
_symmetry_space_group_name_H-M 'P m -3 m'
_symmetry_Int_Tables_number 221
_symmetry_space_group_name_Hall '-P 4 2 3'
loop_
_atom_site_label
_atom_site_type_symbol
_atom_site_fract_x
_atom_site_fract_y
_atom_site_fract_z
_atom_site_occupancy
B1 B 0.000 0.000 0.000 1
P1 P 0.000 0.000 0.500 1
Pt1 Pt 0.500 0.500 0.500 1

(4)
# ZnP2WS, relaxed, DFT PBE
# **Size of the total moment**: 2.45 μB/f.u.
# **Calculated density**: 6.19 g/cm³
# **Electronic total energy**: -4.40 eV per atom
# **Formation energy from raw total energies**: 1437 meV/atom
# **Crystal system**: tetragonal
data_ZnP2WS
_chemical_formula_sum 'Zn1 P2 W1 S1'
_cell_length_a 4.484
_cell_length_b 4.484
_cell_length_c 4.576
_cell_angle_alpha 90.00
_cell_angle_beta 90.00
_cell_angle_gamma 90.00
_symmetry_space_group_name_H-M 'P 4/m m m'
_symmetry_Int_Tables_number 123
_symmetry_space_group_name_Hall '-P 4 2'
loop_
_atom_site_label
_atom_site_type_symbol
_atom_site_fract_x
_atom_site_fract_y
_atom_site_fract_z
_atom_site_occupancy
Zn1 Zn 0.000 0.000 0.000 1
P1 P 0.000 0.500 0.000 1
W1 W 0.500 0.500 0.500 1
S1 S 0.000 0.000 0.500 1

(5)
# MnSi2Tc, relaxed, DFT PBE
# **Size of the total moment**: 2.31 μB/f.u.
# **Calculated density**: 6.76 g/cm³
# **Electronic total energy**: -7.80 eV per atom
# **Formation energy from raw total energies**: -205 meV/atom
# **Crystal system**: tetragonal
data_MnSi2Tc
_chemical_formula_sum 'Mn2 Si4 Tc2'
_cell_length_a 3.582
_cell_length_b 3.582
_cell_length_c 8.011
_cell_angle_alpha 90.00
_cell_angle_beta 90.00
_cell_angle_gamma 90.00
_symmetry_space_group_name_H-M 'I -4 m 2'
_symmetry_Int_Tables_number 119
_symmetry_space_group_name_Hall 'I -4 -2'
loop_
_atom_site_label
_atom_site_type_symbol
_atom_site_fract_x
_atom_site_fract_y
_atom_site_fract_z
_atom_site_occupancy
Mn1 Mn 0.000 0.000 0.000 1
Si1 Si 0.000 0.000 0.500 1
Si2 Si 0.000 0.500 0.750 1
Tc1 Tc 0.000 0.500 0.250 1

(6)
# NaCdSi, relaxed, DFT PBE
# **Size of the total moment**: 0.00 μB/f.u.
# **Calculated density**: 4.08 g/cm³
# **Electronic total energy**: -2.53 eV per atom
# **Formation energy from raw total energies**: 23 meV/atom
# **Crystal system**: orthorhombic
data_NaCdSi
_chemical_formula_sum 'Na4 Cd4 Si4'
_cell_length_a 3.982
_cell_length_b 8.514
_cell_length_c 7.845
_cell_angle_alpha 90.00
_cell_angle_beta 90.00
_cell_angle_gamma 90.00
_symmetry_space_group_name_H-M 'I m a 2'
_symmetry_Int_Tables_number 46
_symmetry_space_group_name_Hall 'I 2 -2a'
loop_
_atom_site_label
_atom_site_type_symbol
_atom_site_fract_x
_atom_site_fract_y
_atom_site_fract_z
_atom_site_occupancy
Na1 Na 0.250 0.162 0.000 1
Cd1 Cd 0.250 0.623 0.183 1
Si1 Si 0.250 0.581 0.825 1

(7)
# Ti3Ni5Pt, relaxed, DFT PBE
# **Size of the total moment**: 0.00 μB/f.u.
# **Calculated density**: 8.37 g/cm³
# **Electronic total energy**: -6.57 eV per atom
# **Formation energy from the elements**: -0.056 eV per atom
# **Crystal system**: tetragonal
data_Ti3Ni5Pt
_chemical_formula_sum 'Ti12 Ni20 Pt4'
_cell_length_a 7.067
_cell_length_b 7.067
_cell_length_c 10.047
_cell_angle_alpha 90.00
_cell_angle_beta 90.00
_cell_angle_gamma 90.00
_symmetry_space_group_name_H-M 'I 4/m c m'
_symmetry_Int_Tables_number 140
_symmetry_space_group_name_Hall '-I 4 2c'
loop_
_atom_site_label
_atom_site_type_symbol
_atom_site_fract_x
_atom_site_fract_y
_atom_site_fract_z
_atom_site_occupancy
Ti1 Ti 0.000 0.000 0.250 1
Ti2 Ti 0.116 0.384 0.000 1
Ni1 Ni 0.000 0.000 0.000 1
Ni2 Ni 0.211 0.289 0.369 1
Pt1 Pt 0.000 0.500 0.250 1

(8)
# TbPr2Bi, relaxed, DFT PBE
# **Size of the total moment**: 0.00 μB/f.u.
# **Calculated density**: 7.68 g/cm³
# **Electronic total energy**: -4.51 eV per atom
# **Formation energy from the elements**: 0.007 eV per atom
# **Crystal system**: trigonal
data_TbPr2Bi
_chemical_formula_sum 'Tb3 Pr6 Bi3'
_cell_length_a 3.6061
_cell_length_b 3.6061
_cell_length_c 37.4440
_cell_angle_alpha 90.00
_cell_angle_beta 90.00
_cell_angle_gamma 120.00
_symmetry_space_group_name_H-M 'R -3 m'
_symmetry_Int_Tables_number 166
_symmetry_space_group_name_Hall '-R 3 2"'
loop_
_atom_site_label
_atom_site_type_symbol
_atom_site_fract_x
_atom_site_fract_y
_atom_site_fract_z
_atom_site_occupancy
Tb1 Tb 0.0000 0.0000 0.0000 1
Pr1 Pr 0.0000 0.0000 0.4126 1
Bi1 Bi 0.0000 0.0000 0.5000 1

(9)
# AcCd2TcO6, relaxed, DFT PBE
# **Size of the total moment**: 0.00 μB/f.u.
# **Calculated density**: 6.08 g/cm³
# **Electronic total energy**: -6.15 eV per atom
# **Formation energy from raw total energies**: -1541 meV/atom
# **Crystal system**: tetragonal
data_AcCd2TcO6
_chemical_formula_sum 'Ac1 Cd2 Tc1 O6'
_cell_length_a 5.960
_cell_length_b 5.960
_cell_length_c 4.963
_cell_angle_alpha 90.00
_cell_angle_beta 90.00
_cell_angle_gamma 90.00
_symmetry_space_group_name_H-M 'P 4 m m'
_symmetry_Int_Tables_number 99
_symmetry_space_group_name_Hall 'P 4 -2'
loop_
_atom_site_label
_atom_site_type_symbol
_atom_site_fract_x
_atom_site_fract_y
_atom_site_fract_z
_atom_site_occupancy
Ac1 Ac 0.000 0.000 0.000 1
Cd1 Cd 0.000 0.500 0.361 1
Tc1 Tc 0.500 0.500 0.012 1
O1 O 0.000 0.000 0.525 1
O2 O 0.285 0.285 0.147 1
O3 O 0.500 0.500 0.667 1

(10)
# Tm3Al2Ag, relaxed, DFT PBE
# **Size of the total moment**: 0.00 μB/f.u.
# **Calculated density**: 8.14 g/cm³
# **Electronic total energy**: -4.33 eV per atom
# **Formation energy from the elements**: -0.370 eV per atom
# **Crystal system**: tetragonal
data_Tm3Al2Ag
_chemical_formula_sum 'Tm3 Al2 Ag1'
_cell_length_a 3.430
_cell_length_b 3.430
_cell_length_c 11.597
_cell_angle_alpha 90.00
_cell_angle_beta 90.00
_cell_angle_gamma 90.00
_symmetry_space_group_name_H-M 'P 4/m m m'
_symmetry_Int_Tables_number 123
_symmetry_space_group_name_Hall '-P 4 2'
loop_
_atom_site_label
_atom_site_type_symbol
_atom_site_fract_x
_atom_site_fract_y
_atom_site_fract_z
_atom_site_occupancy
Tm1 Tm 0.000 0.000 0.000 1
Tm2 Tm 0.000 0.000 0.334 1
Al1 Al 0.500 0.500 0.169 1
Ag1 Ag 0.500 0.500 0.500 1

(11)
# UTaGe, relaxed, DFT PBE
# **Size of the total moment**: 0.00 μB/f.u.
# **Calculated density**: 14.12 g/cm³
# **Electronic total energy**: -9.16 eV per atom
# **Formation energy from the elements**: 0.092 eV per atom
# **Crystal system**: hexagonal
data_UTaGe
_chemical_formula_sum 'U1 Ta1 Ge1'
_cell_length_a 4.8115
_cell_length_b 4.8115
_cell_length_c 2.8830
_cell_angle_alpha 90.00
_cell_angle_beta 90.00
_cell_angle_gamma 120.00
_symmetry_space_group_name_H-M 'P -6 m 2'
_symmetry_Int_Tables_number 187
_symmetry_space_group_name_Hall 'P -6 2'
loop_
_atom_site_label
_atom_site_type_symbol
_atom_site_fract_x
_atom_site_fract_y
_atom_site_fract_z
_atom_site_occupancy
U1 U 0.0000 0.0000 0.0000 1
Ta1 Ta 0.6667 0.3333 0.5000 1
Ge1 Ge 0.3333 0.6667 0.5000 1

(12)
# Hf2V2Re, relaxed, DFT PBE
# **Size of the total moment**: 0.00 μB/f.u.
# **Calculated density**: 12.01 g/cm³
# **Electronic total energy**: -10.05 eV per atom
# **Formation energy from the elements**: 0.065 eV per atom
# **Crystal system**: tetragonal
data_Hf2V2Re
_chemical_formula_sum 'Hf4 V4 Re2'
_cell_length_a 6.289
_cell_length_b 6.289
_cell_length_c 4.510
_cell_angle_alpha 90.00
_cell_angle_beta 90.00
_cell_angle_gamma 90.00
_symmetry_space_group_name_H-M 'P 4/m b m'
_symmetry_Int_Tables_number 127
_symmetry_space_group_name_Hall '-P 4 2ab'
loop_
_atom_site_label
_atom_site_type_symbol
_atom_site_fract_x
_atom_site_fract_y
_atom_site_fract_z
_atom_site_occupancy
Hf1 Hf 0.170 0.330 0.000 1
V1 V 0.141 0.641 0.500 1
Re1 Re 0.000 0.000 0.500 1

(13)
# MnCuTe2, relaxed, DFT PBE
# **Size of the total moment**: 4.50 μB/f.u.
# **Calculated density**: 6.64 g/cm³
# **Electronic total energy**: -4.65 eV per atom
# **Formation energy from raw total energies**: 237 meV/atom
# **Crystal system**: monoclinic
data_MnCuTe2
_chemical_formula_sum 'Mn2 Cu2 Te4'
_cell_length_a 6.441
_cell_length_b 7.739
_cell_length_c 4.216
_cell_angle_alpha 90.00
_cell_angle_beta 117.26
_cell_angle_gamma 90.00
_symmetry_space_group_name_H-M 'C 1 2/m 1'
_symmetry_Int_Tables_number 12
_symmetry_space_group_name_Hall '-C 2y'
loop_
_atom_site_label
_atom_site_type_symbol
_atom_site_fract_x
_atom_site_fract_y
_atom_site_fract_z
_atom_site_occupancy
Mn1 Mn 0.000 0.000 0.000 1
Cu1 Cu 0.000 0.500 0.000 1
Te1 Te 0.250 0.250 0.500 1